Compound: Co2RhBrO
Source: the Alexandria database
Functional: PBE+U
Structure: relaxed

Values from the calculation:
space-group type	P4/mmm
magnetic moment	1.100	μB per atom
total energy	-3.51	eV/atom

Cell lengths 4.790, 4.790, 4.664 Å; angles 90.00, 90.00, 90.00 degrees
Element x y z (fractional)
1 Co 0.000 0.500 0.000
2 Co 0.500 0.000 0.000
3 Rh 0.000 0.000 0.000
4 Br 0.000 0.000 0.500
5 O 0.500 0.500 0.500